# 1
An optimized crystal structure of Th3CoP2Rh9, computed with GGA-PBE.

Energy = -7.728 eV per atom
Space-group type = P-3m1
Size of the total moment = 2.66 Bohr magnetons per cell
Formation energy from the elements = -0.639 eV per atom

Cell lengths 5.7911, 5.7911, 9.5972 Å; angles 90.00, 90.00, 120.00 degrees
Element x y z (fractional)
Th  0.0000  0.0000  0.0000
Th  0.3333  0.6667  0.6167
Th  0.6667  0.3333  0.3833
Co  0.0000  0.0000  0.5000
P  0.3333  0.6667  0.1613
P  0.6667  0.3333  0.8387
Rh  0.0000  0.5000  0.0000
Rh  0.1642  0.3284  0.3131
Rh  0.1642  0.8358  0.3131
Rh  0.3284  0.1642  0.6869
Rh  0.5000  0.0000  0.0000
Rh  0.5000  0.5000  0.0000
Rh  0.6716  0.8358  0.3131
Rh  0.8358  0.1642  0.6869
Rh  0.8358  0.6716  0.6869

---

# 2
An optimized crystal structure of AsW4, computed with GGA-PBE.

Energy = -9.581 eV per atom
Energy relative to the lowest polymorph listed for this composition = 704 meV/atom
Space-group type = Pm-3m
Size of the total moment = 0.00 Bohr magnetons per cell
Formation energy from the elements = 1.711 eV per atom

Cell lengths 4.5369, 4.5369, 4.5369 Å; angles 90.00, 90.00, 90.00 degrees
Element x y z (fractional)
As  0.0000  0.0000  0.0000
W  0.0000  0.0000  0.5000
W  0.0000  0.5000  0.0000
W  0.5000  0.0000  0.0000
W  0.5000  0.5000  0.5000

---

# 3
An optimized crystal structure of PuW2, computed with GGA-PBE.

Energy = -13.013 eV per atom
Space-group type = Cmcm
Size of the total moment = 19.02 Bohr magnetons per cell
Formation energy from the elements = 0.400 eV per atom

Cell lengths 5.6542, 5.6542, 8.4691 Å; angles 90.00, 90.00, 119.81 degrees
Element x y z (fractional)
Pu  0.1667  0.8333  0.5679
Pu  0.1667  0.8333  0.9321
Pu  0.8333  0.1667  0.0679
Pu  0.8333  0.1667  0.4321
W  0.1600  0.3291  0.7500
W  0.3291  0.1600  0.2500
W  0.3294  0.6706  0.2500
W  0.5000  0.5000  0.0000
W  0.5000  0.5000  0.5000
W  0.6706  0.3294  0.7500
W  0.6709  0.8400  0.7500
W  0.8400  0.6709  0.2500

---

# 4
An optimized crystal structure of Nd7HoCd4, computed with GGA-PBE.

Energy = -3.493 eV per atom
Space-group type = C2/m
Size of the total moment = 0.00 Bohr magnetons per cell
Formation energy from the elements = -0.025 eV per atom

Cell lengths 8.0908, 8.0908, 9.9974 Å; angles 119.63, 119.63, 42.52 degrees
Element x y z (fractional)
Nd  0.0000  0.0000  0.0000
Nd  0.2372  0.2372  0.6943
Nd  0.2957  0.2957  0.1167
Nd  0.4304  0.4304  0.5916
Nd  0.5696  0.5696  0.4084
Nd  0.7043  0.7043  0.8833
Nd  0.7628  0.7628  0.3057
Ho  0.5000  0.5000  0.0000
Cd  0.0406  0.0406  0.7127
Cd  0.1812  0.1812  0.3433
Cd  0.8188  0.8188  0.6567
Cd  0.9594  0.9594  0.2873

---

# 5
An optimized crystal structure of MgRhCl, computed with GGA-PBE.

Energy = -3.881 eV per atom
Energy relative to the lowest polymorph listed for this composition = 426 meV/atom
Space-group type = I4mm
Size of the total moment = 0.01 Bohr magnetons per cell
ΔE_f (raw) = -283 meV/atom

Cell lengths 5.8708, 5.8708, 5.8708 Å; angles 149.99, 149.99, 42.95 degrees
Element x y z (fractional)
Mg  0.0000  0.0000  0.0000
Rh  0.6557  0.6557  0.0000
Cl  0.3437  0.3437  0.0000

---

# 6
An optimized crystal structure of TeMo2, computed with GGA-PBE.

Energy = -7.606 eV per atom
Energy relative to the lowest polymorph listed for this composition = 620 meV/atom
Space-group type = I4_1/amd
Size of the total moment = 0.00 Bohr magnetons per cell
ΔE_f (raw) = 662 meV/atom

Cell lengths 10.9738, 10.9738, 10.9738 Å; angles 162.87, 162.87, 24.31 degrees
Element x y z (fractional)
Te  0.3750  0.6250  0.7500
Te  0.6250  0.3750  0.2500
Mo  0.0446  0.7946  0.2500
Mo  0.2054  0.9554  0.2500
Mo  0.7946  0.0446  0.7500
Mo  0.9554  0.2054  0.7500

---

# 7
An optimized crystal structure of ZnRe2As, computed with GGA-PBE.

Energy = -7.254 eV per atom
Energy relative to the lowest polymorph listed for this composition = 307 meV/atom
Space-group type = P4/mmm
Size of the total moment = 0.00 Bohr magnetons per cell
Formation energy from the elements = 0.451 eV per atom

Cell lengths 3.0481, 3.0481, 6.2705 Å; angles 90.00, 90.00, 90.00 degrees
Element x y z (fractional)
Zn  0.0000  0.0000  0.0000
Re  0.5000  0.5000  0.2640
Re  0.5000  0.5000  0.7360
As  0.0000  0.0000  0.5000

---

# 8
An optimized crystal structure of HfReS2, computed with GGA-PBE.

Energy = -7.973 eV per atom
Energy relative to the lowest polymorph listed for this composition = 66 meV/atom
Space-group type = R-3m
Size of the total moment = 0.00 Bohr magnetons per cell
ΔE_f (raw) = -309 meV/atom

Cell lengths 8.3563, 8.3563, 8.3563 Å; angles 21.59, 21.59, 21.59 degrees
Element x y z (fractional)
Hf  0.0000  0.0000  0.0000
Re  0.5000  0.5000  0.5000
S  0.4062  0.4062  0.4062
S  0.5938  0.5938  0.5938

---

# 9
An optimized crystal structure of Pm3HoSb2, computed with GGA-PBE.

Energy = -5.340 eV per atom
Energy relative to the lowest polymorph listed for this composition = 0 meV/atom
Space-group type = P-4m2
Size of the total moment = 0.00 Bohr magnetons per cell
ΔE_f (raw) = -828 meV/atom

Cell lengths 4.5457, 4.5457, 8.7199 Å; angles 90.00, 90.00, 90.00 degrees
Element x y z (fractional)
Pm  0.0000  0.0000  0.0000
Pm  0.0000  0.5000  0.6465
Pm  0.5000  0.0000  0.3535
Ho  0.5000  0.5000  0.0000
Sb  0.0000  0.5000  0.2766
Sb  0.5000  0.0000  0.7234

---

# 10
An optimized crystal structure of CoMoIr2, computed with GGA-PBE.

Energy = -9.100 eV per atom
Energy relative to the lowest polymorph listed for this composition = 0 meV/atom
Space-group type = I4/mmm
Size of the total moment = 1.35 Bohr magnetons per cell
Formation energy from the elements = -0.185 eV per atom

Cell lengths 4.6543, 4.6543, 4.6543 Å; angles 131.21, 131.21, 71.47 degrees
Element x y z (fractional)
Co  0.0000  0.0000  0.0000
Mo  0.5000  0.5000  0.0000
Ir  0.2500  0.7500  0.5000
Ir  0.7500  0.2500  0.5000

---

# 11
An optimized crystal structure of NiHgIr2, computed with GGA-PBE.

Energy = -5.643 eV per atom
Space-group type = C2/m
Size of the total moment = 0.53 Bohr magnetons per cell
Formation energy from the elements = 0.308 eV per atom

Cell lengths 4.8858, 4.8858, 4.7577 Å; angles 102.43, 102.43, 33.24 degrees
Element x y z (fractional)
Ni  0.0000  0.0000  0.0000
Hg  0.5000  0.5000  0.5000
Ir  0.2665  0.2665  0.7737
Ir  0.7335  0.7335  0.2263

---

# 12
An optimized crystal structure of Sr3PdAu3, computed with GGA-PBE.

Energy = -3.594 eV per atom
Space-group type = C2/m
Size of the total moment = 0.00 Bohr magnetons per cell
Formation energy from the elements = -0.727 eV per atom

Cell lengths 6.1826, 6.1826, 16.4716 Å; angles 108.66, 108.66, 41.85 degrees
Element x y z (fractional)
Sr  0.0700  0.0700  0.4030
Sr  0.1004  0.1004  0.9224
Sr  0.2549  0.2549  0.2331
Sr  0.7451  0.7451  0.7669
Sr  0.8996  0.8996  0.0776
Sr  0.9300  0.9300  0.5970
Pd  0.2521  0.2521  0.6321
Pd  0.7479  0.7479  0.3679
Au  0.3800  0.3800  0.4426
Au  0.3836  0.3836  0.9238
Au  0.4664  0.4664  0.7718
Au  0.5336  0.5336  0.2282
Au  0.6164  0.6164  0.0762
Au  0.6200  0.6200  0.5574